(1)
# Cs4Tc6Se13 (GGA-PBE, optimized geometry)
# electronic total energy	-5.57	eV per atom
data_Cs4Tc6Se13
_chemical_formula_sum 'Cs16 Tc24 Se52'
_cell_length_a 10.445
_cell_length_b 17.944
_cell_length_c 14.366
_cell_angle_alpha 90.00
_cell_angle_beta 101.04
_cell_angle_gamma 90.00
_space_group_name_H-M_alt 'C 1 2/c 1'
_space_group_IT_number 15
loop_
_space_group_symop_operation_xyz
'x,y,z'
'-x,-y,-z'
'-x,y,-z+1/2'
'x,-y,z+1/2'
'x+1/2,y+1/2,z'
'-x+1/2,-y+1/2,-z'
'-x+1/2,y+1/2,-z+1/2'
'x+1/2,-y+1/2,z+1/2'
loop_
_atom_site_label
_atom_site_type_symbol
_atom_site_fract_x
_atom_site_fract_y
_atom_site_fract_z
_atom_site_occupancy
Cs1 Cs 0.201 0.021 0.281 1
Cs2 Cs 0.215 0.379 0.417 1
Tc1 Tc 0.135 0.217 0.075 1
Tc2 Tc 0.144 0.206 0.893 1
Tc3 Tc 0.154 0.339 0.977 1
Se1 Se 0.000 0.137 0.750 1
Se2 Se 0.011 0.462 0.931 1
Se3 Se 0.047 0.184 0.334 1
Se4 Se 0.050 0.261 0.553 1
Se5 Se 0.130 0.091 0.994 1
Se6 Se 0.149 0.344 0.152 1
Se7 Se 0.166 0.323 0.804 1

=====

(2)
# Cs2TeWSe2 (GGA-PBE, optimized geometry)
# electronic total energy	-4.83	eV per atom
data_Cs2TeWSe2
_chemical_formula_sum 'Cs8 Te4 W4 Se8'
_cell_length_a 14.944
_cell_length_b 7.658
_cell_length_c 10.796
_cell_angle_alpha 90.00
_cell_angle_beta 125.60
_cell_angle_gamma 90.00
_space_group_name_H-M_alt 'C 1 2/m 1'
_space_group_IT_number 12
loop_
_space_group_symop_operation_xyz
'x,y,z'
'-x,-y,-z'
'-x,y,-z'
'x,-y,z'
'x+1/2,y+1/2,z'
'-x+1/2,-y+1/2,-z'
'-x+1/2,y+1/2,-z'
'x+1/2,-y+1/2,z'
loop_
_atom_site_label
_atom_site_type_symbol
_atom_site_fract_x
_atom_site_fract_y
_atom_site_fract_z
_atom_site_occupancy
Cs1 Cs 0.078 0.000 0.363 1
Cs2 Cs 0.209 0.500 0.825 1
Te1 Te 0.106 0.500 0.397 1
W1 W 0.102 0.500 0.152 1
Se1 Se 0.000 0.245 0.000 1
Se2 Se 0.215 0.000 0.780 1

=====

(3)
# CsYZnTe2Se (GGA-PBE, optimized geometry)
# electronic total energy	-4.27	eV per atom
data_CsYZnTe2Se
_chemical_formula_sum 'Cs4 Y4 Zn4 Te8 Se4'
_cell_length_a 4.347
_cell_length_b 16.811
_cell_length_c 11.286
_cell_angle_alpha 90.00
_cell_angle_beta 90.00
_cell_angle_gamma 90.00
_space_group_name_H-M_alt 'C m c m'
_space_group_IT_number 63
_space_group_name_Hall '-C 2c 2'
loop_
_atom_site_label
_atom_site_type_symbol
_atom_site_fract_x
_atom_site_fract_y
_atom_site_fract_z
_atom_site_occupancy
Cs1 Cs 0.000 0.234 0.250 1
Y1 Y 0.000 0.500 0.000 1
Zn1 Zn 0.000 0.038 0.750 1
Te1 Te 0.000 0.125 0.554 1
Se1 Se 0.000 0.452 0.750 1

=====

(4)
# CsTh2Se6 (GGA-PBE, optimized geometry)
# electronic total energy	-5.56	eV per atom
data_CsTh2Se6
_chemical_formula_sum 'Cs2 Th4 Se12'
_cell_length_a 4.266
_cell_length_b 5.606
_cell_length_c 23.841
_cell_angle_alpha 90.00
_cell_angle_beta 90.00
_cell_angle_gamma 90.00
_space_group_name_H-M_alt 'I m m m'
_space_group_IT_number 71
_space_group_name_Hall '-I 2 2'
loop_
_atom_site_label
_atom_site_type_symbol
_atom_site_fract_x
_atom_site_fract_y
_atom_site_fract_z
_atom_site_occupancy
Cs1 Cs 0.000 0.000 0.000 1
Th1 Th 0.000 0.500 0.183 1
Se1 Se 0.000 0.000 0.229 1
Se2 Se 0.000 0.245 0.386 1

=====

The highest electronic total energy belongs to which entry?
CsYZnTe2Se

=====

Look up the electronic total energy of the third one.
-4.27 eV per atom